Computed, not measured: crystalline Nd3ThCd2 at its relaxed geometry at the GGA-PBE level of DFT.

Unit cell a=3.6915 b=3.6915 c=13.2236 alpha=90.00 beta=90.00 gamma=90.00
Closest atoms and distances in Å follow each position.
Atoms (fractional coordinates):
Nd1 0.0000 0.0000 0.3182  4 Cd 3.36, 4 Th 3.55, 4 Nd 3.69
Nd2 0.0000 0.0000 0.0000  8 Cd 3.35, 4 Nd 3.69
Nd3 0.0000 0.0000 0.6818  4 Cd 3.36, 4 Th 3.55, 4 Nd 3.69
Th1 0.5000 0.5000 0.5000  8 Nd 3.55, 4 Th 3.69
Cd1 0.5000 0.5000 0.1584  8 Nd 3.35-3.36, 4 Cd 3.69
Cd2 0.5000 0.5000 0.8416  8 Nd 3.35-3.36, 4 Cd 3.69

Results
The calculation puts the energy relative to the elements at -0.2050 eV/atom. The value obtained for the calculated density is 8198 kg/m³.